BaCr2 after structural relaxation. Source: Alexandria via LeMat-Bulk, functional GGA-PBEsol.

```
data_BaCr2
_chemical_formula_sum 'Ba4 Cr8'
_cell_length_a 4.7570
_cell_length_b 4.7570
_cell_length_c 12.6952
_cell_angle_alpha 90.00
_cell_angle_beta 90.00
_cell_angle_gamma 90.00
_symmetry_space_group_name_H-M 'I 41/a m d'
_symmetry_Int_Tables_number 141
loop_
_symmetry_equiv_pos_as_xyz
'x,y,z'
'-x,-y,-z'
'-y+1/4,x+3/4,z+1/4'
'y+1/4,-x+3/4,-z+1/4'
'-x+1/2,-y,z+1/2'
'x+1/2,y,-z+1/2'
'y+1/4,-x+1/4,z+3/4'
'-y+1/4,x+1/4,-z+3/4'
'x,-y,-z'
'-x,y,z'
'-y+1/4,-x+1/4,-z+3/4'
'y+1/4,x+1/4,z+3/4'
'-x+1/2,y,-z+1/2'
'x+1/2,-y,z+1/2'
'y+1/4,x+3/4,-z+1/4'
'-y+1/4,-x+3/4,z+1/4'
'x+1/2,y+1/2,z+1/2'
'-x+1/2,-y+1/2,-z+1/2'
'-y+3/4,x+1/4,z+3/4'
'y+3/4,-x+1/4,-z+3/4'
'-x,-y+1/2,z'
'x,y+1/2,-z'
'y+3/4,-x+3/4,z+1/4'
'-y+3/4,x+3/4,-z+1/4'
'x+1/2,-y+1/2,-z+1/2'
'-x+1/2,y+1/2,z+1/2'
'-y+3/4,-x+3/4,-z+1/4'
'y+3/4,x+3/4,z+1/4'
'-x,y+1/2,-z'
'x,-y+1/2,z'
'y+3/4,x+1/4,-z+3/4'
'-y+3/4,-x+1/4,z+3/4'
loop_
_atom_site_label
_atom_site_fract_x
_atom_site_fract_y
_atom_site_fract_z
Ba1 0.0000 0.2500 0.3750
Cr1 0.0000 0.2500 0.8039
```

E_form = 1.24 eV/atom
E above lowest polymorph = 0.2833 eV/atom
Total magnetization = 0.0 μB per cell
ρ = 5.6 g/cm3
DOS at the Fermi energy = 8.41 states/eV per cell
Crystal system = tetragonal


Ba3Cr after structural relaxation. Source: Alexandria via LeMat-Bulk, functional GGA-PBEsol.

```
data_Ba3Cr
_chemical_formula_sum 'Ba3 Cr1'
_cell_length_a 4.1655
_cell_length_b 4.1655
_cell_length_c 10.5006
_cell_angle_alpha 90.00
_cell_angle_beta 90.00
_cell_angle_gamma 90.00
_symmetry_space_group_name_H-M 'P 4/m m m'
_symmetry_Int_Tables_number 123
_symmetry_space_group_name_Hall '-P 4 2'
loop_
_atom_site_label
_atom_site_fract_x
_atom_site_fract_y
_atom_site_fract_z
Ba1 0.0000 0.0000 0.0000
Ba2 0.5000 0.5000 0.3145
Cr1 0.0000 0.0000 0.5000
```

E_form = 0.51 eV/atom
Total magnetization = 4.2 μB per cell
ρ = 4.2 g/cm3
DOS at the Fermi energy = 5.37 states/eV per cell
Crystal system = tetragonal


BaCrCu2 after structural relaxation. Source: Alexandria via LeMat-Bulk, functional GGA-PBEsol.

```
data_BaCrCu2
_chemical_formula_sum 'Ba2 Cr2 Cu4'
_cell_length_a 3.9343
_cell_length_b 3.6400
_cell_length_c 12.2460
_cell_angle_alpha 90.00
_cell_angle_beta 90.00
_cell_angle_gamma 90.00
_symmetry_space_group_name_H-M 'A m m 2'
_symmetry_Int_Tables_number 38
_symmetry_space_group_name_Hall 'A 2 -2'
loop_
_atom_site_label
_atom_site_fract_x
_atom_site_fract_y
_atom_site_fract_z
Ba1 0.0000 0.0000 0.0000
Cr1 0.5000 0.0000 0.7199
Cu1 0.0000 0.0000 0.2524
Cu2 0.5000 0.0000 0.3626
```

E_form = 0.55 eV/atom
Total magnetization = 8.9 μB per cell
ρ = 6.0 g/cm3
DOS at the Fermi energy = 5.31 states/eV per cell
Crystal system = orthorhombic


BaCrCu2 after structural relaxation. Source: Alexandria via LeMat-Bulk, functional GGA-PBEsol.

```
data_BaCrCu2
_chemical_formula_sum 'Ba2 Cr2 Cu4'
_cell_length_a 4.5507
_cell_length_b 5.6521
_cell_length_c 7.0802
_cell_angle_alpha 90.00
_cell_angle_beta 90.00
_cell_angle_gamma 90.00
_symmetry_space_group_name_H-M 'I m m m'
_symmetry_Int_Tables_number 71
_symmetry_space_group_name_Hall '-I 2 2'
loop_
_atom_site_label
_atom_site_fract_x
_atom_site_fract_y
_atom_site_fract_z
Ba1 0.0000 0.0000 0.0000
Cr1 0.0000 0.0000 0.5000
Cu1 0.0000 0.5000 0.1748
```

E_form = 0.65 eV/atom
Total magnetization = 9.0 μB per cell
ρ = 5.8 g/cm3
DOS at the Fermi energy = 4.54 states/eV per cell
Crystal system = orthorhombic


BaCrCu2 after structural relaxation. Source: Alexandria via LeMat-Bulk, functional GGA-PBEsol.

```
data_BaCrCu2
_chemical_formula_sum 'Ba1 Cr1 Cu2'
_cell_length_a 3.2820
_cell_length_b 3.2820
_cell_length_c 7.1015
_cell_angle_alpha 90.00
_cell_angle_beta 90.00
_cell_angle_gamma 90.00
_symmetry_space_group_name_H-M 'P 4/m m m'
_symmetry_Int_Tables_number 123
_symmetry_space_group_name_Hall '-P 4 2'
loop_
_atom_site_label
_atom_site_fract_x
_atom_site_fract_y
_atom_site_fract_z
Ba1 0.0000 0.0000 0.0000
Cr1 0.0000 0.0000 0.5000
Cu1 0.5000 0.5000 0.3301
```

E_form = 0.51 eV/atom
Total magnetization = 3.7 μB per cell
ρ = 6.9 g/cm3
DOS at the Fermi energy = 3.22 states/eV per cell
Crystal system = tetragonal


Ba2ZnCr2CuF14 after structural relaxation. Source: Alexandria via LeMat-Bulk, functional GGA-PBEsol.

```
data_Ba2ZnCr2CuF14
_chemical_formula_sum 'Ba8 Zn4 Cr8 Cu4 F56'
_cell_length_a 13.8783
_cell_length_b 5.1756
_cell_length_c 14.3614
_cell_angle_alpha 90.00
_cell_angle_beta 91.27
_cell_angle_gamma 90.00
_symmetry_space_group_name_H-M 'C 1 2/c 1'
_symmetry_Int_Tables_number 15
_symmetry_space_group_name_Hall '-C 2yc'
loop_
_atom_site_label
_atom_site_fract_x
_atom_site_fract_y
_atom_site_fract_z
Ba1 0.1848 0.0661 0.1208
Zn1 0.0000 0.4494 0.7500
Cr1 0.1207 0.0068 0.3737
Cu1 0.0000 0.5000 0.0000
F1 0.0033 0.1099 0.6622
F2 0.0517 0.4349 0.1248
F3 0.0787 0.1883 0.4818
F4 0.1139 0.2963 0.2914
F5 0.1377 0.2850 0.9529
F6 0.1693 0.1993 0.7760
F7 0.2481 0.0902 0.4091
```

Total magnetization = 26.2 μB per cell
ρ = 5.0 g/cm3
Raw formation energy = -2.803 eV per atom
DOS at the Fermi energy = 62.69 states/eV per cell
Crystal system = monoclinic


Ba2CrCuSi after structural relaxation. Source: Alexandria via LeMat-Bulk, functional GGA-PBEsol.

```
data_Ba2CrCuSi
_chemical_formula_sum 'Ba2 Cr1 Cu1 Si1'
_cell_length_a 5.9991
_cell_length_b 5.9991
_cell_length_c 4.5006
_cell_angle_alpha 90.00
_cell_angle_beta 90.00
_cell_angle_gamma 90.00
_symmetry_space_group_name_H-M 'P 4/m m m'
_symmetry_Int_Tables_number 123
_symmetry_space_group_name_Hall '-P 4 2'
loop_
_atom_site_label
_atom_site_fract_x
_atom_site_fract_y
_atom_site_fract_z
Ba1 0.0000 0.5000 0.0000
Cr1 0.0000 0.0000 0.0000
Cu1 0.0000 0.0000 0.5000
Si1 0.5000 0.5000 0.5000
```

Total magnetization = 4.6 μB per cell
ρ = 4.3 g/cm3
Raw formation energy = 0.830 eV per atom
DOS at the Fermi energy = 4.44 states/eV per cell
Crystal system = tetragonal


Ba4CrGa2S6F4 after structural relaxation. Source: Alexandria via LeMat-Bulk, functional GGA-PBEsol.

```
data_Ba4CrGa2S6F4
_chemical_formula_sum 'Ba16 Cr4 Ga8 S24 F16'
_cell_length_a 12.9563
_cell_length_b 18.3879
_cell_length_c 6.1253
_cell_angle_alpha 90.00
_cell_angle_beta 90.00
_cell_angle_gamma 90.00
_symmetry_space_group_name_H-M 'P n m a'
_symmetry_Int_Tables_number 62
_symmetry_space_group_name_Hall '-P 2ac 2n'
loop_
_atom_site_label
_atom_site_fract_x
_atom_site_fract_y
_atom_site_fract_z
Ba1 0.0004 0.0784 0.2423
Ba2 0.2491 0.0784 0.7717
Cr1 0.1249 0.2500 0.5038
Ga1 0.0519 0.7500 0.1534
Ga2 0.1995 0.7500 0.6574
S1 0.0300 0.1526 0.7097
S2 0.0329 0.7500 0.7801
S3 0.2177 0.7500 0.2838
S4 0.2197 0.1526 0.2977
F1 0.1249 0.5013 0.5138
F2 0.1255 0.5040 0.0137
```

Total magnetization = 16.0 μB per cell
ρ = 4.6 g/cm3
Raw formation energy = -2.176 eV per atom
Crystal system = orthorhombic


BaLiCrF6 after structural relaxation. Source: Alexandria via LeMat-Bulk, functional GGA-PBEsol.

```
data_BaLiCrF6
_chemical_formula_sum 'Ba4 Li4 Cr4 F24'
_cell_length_a 5.3710
_cell_length_b 10.3438
_cell_length_c 8.5885
_cell_angle_alpha 90.00
_cell_angle_beta 91.10
_cell_angle_gamma 90.00
_symmetry_space_group_name_H-M 'P 1 21/c 1'
_symmetry_Int_Tables_number 14
_symmetry_space_group_name_Hall '-P 2ybc'
loop_
_atom_site_label
_atom_site_fract_x
_atom_site_fract_y
_atom_site_fract_z
Ba1 0.1967 0.1860 0.4956
Li1 0.2614 0.5879 0.3226
Cr1 0.2598 0.5878 0.7334
F1 0.0396 0.0052 0.6984
F2 0.1022 0.7470 0.2600
F3 0.1569 0.6042 0.5233
F4 0.3367 0.5923 0.9510
F5 0.3940 0.0828 0.2082
F6 0.4239 0.1590 0.8059
```

Total magnetization = 12.0 μB per cell
ρ = 4.3 g/cm3
Raw formation energy = -3.164 eV per atom
DOS at the Fermi energy = 0.00 states/eV per cell
Crystal system = monoclinic


BaMgCrF7 after structural relaxation. Source: Alexandria via LeMat-Bulk, functional GGA-PBEsol.

```
data_BaMgCrF7
_chemical_formula_sum 'Ba4 Mg4 Cr4 F28'
_cell_length_a 5.5038
_cell_length_b 9.7903
_cell_length_c 9.5331
_cell_angle_alpha 90.00
_cell_angle_beta 93.00
_cell_angle_gamma 90.00
_symmetry_space_group_name_H-M 'P 1 21/c 1'
_symmetry_Int_Tables_number 14
_symmetry_space_group_name_Hall '-P 2ybc'
loop_
_atom_site_label
_atom_site_fract_x
_atom_site_fract_y
_atom_site_fract_z
Ba1 0.2384 0.1789 0.9997
Mg1 0.1950 0.6043 0.8113
Cr1 0.3060 0.6145 0.1875
F1 0.0258 0.7120 0.2505
F2 0.1160 0.5424 0.6256
F3 0.1324 0.0467 0.6310
F4 0.2401 0.6910 0.0023
F5 0.3855 0.5448 0.3662
F6 0.3909 0.0524 0.3749
F7 0.4761 0.7209 0.7472
```

Total magnetization = 12.0 μB per cell
ρ = 4.5 g/cm3
Raw formation energy = -3.305 eV per atom
DOS at the Fermi energy = 0.00 states/eV per cell
Crystal system = monoclinic


BaCrO2F after structural relaxation. Source: Alexandria via LeMat-Bulk, functional GGA-PBEsol.

```
data_BaCrO2F
_chemical_formula_sum 'Ba1 Cr1 O2 F1'
_cell_length_a 4.5908
_cell_length_b 4.5908
_cell_length_c 4.8432
_cell_angle_alpha 90.00
_cell_angle_beta 90.00
_cell_angle_gamma 90.00
_symmetry_space_group_name_H-M 'P 4/m m m'
_symmetry_Int_Tables_number 123
_symmetry_space_group_name_Hall '-P 4 2'
loop_
_atom_site_label
_atom_site_fract_x
_atom_site_fract_y
_atom_site_fract_z
Ba1 0.0000 0.0000 0.0000
Cr1 0.5000 0.5000 0.5000
O1 0.0000 0.5000 0.0000
F1 0.0000 0.0000 0.5000
```

Total magnetization = 4.4 μB per cell
ρ = 3.9 g/cm3
Raw formation energy = -0.485 eV per atom
DOS at the Fermi energy = 9.37 states/eV per cell
Crystal system = tetragonal


BaCrOF2 after structural relaxation. Source: Alexandria via LeMat-Bulk, functional GGA-PBEsol.

```
data_BaCrOF2
_chemical_formula_sum 'Ba1 Cr1 O1 F2'
_cell_length_a 4.9192
_cell_length_b 4.9192
_cell_length_c 4.6452
_cell_angle_alpha 90.00
_cell_angle_beta 90.00
_cell_angle_gamma 90.00
_symmetry_space_group_name_H-M 'P 4/m m m'
_symmetry_Int_Tables_number 123
_symmetry_space_group_name_Hall '-P 4 2'
loop_
_atom_site_label
_atom_site_fract_x
_atom_site_fract_y
_atom_site_fract_z
Ba1 0.0000 0.0000 0.0000
Cr1 0.5000 0.5000 0.5000
O1 0.0000 0.0000 0.5000
F1 0.0000 0.5000 0.0000
```

Total magnetization = 4.5 μB per cell
ρ = 3.6 g/cm3
Raw formation energy = -1.193 eV per atom
DOS at the Fermi energy = 10.39 states/eV per cell
Crystal system = tetragonal


We obtain raw total energy values of -6.304, -3.665, -4.718, -4.618, -4.757, -5.687, -4.094, -5.678, -6.045, -6.065, -5.449, -5.492 eV/atom for the records listed above, in that order.